No. 1
A geometry-optimized In2PbAu structure. Source: the Alexandria database, functional PBE.

The energy relative to the elements comes out at -0.04 eV/atom. As for the total moment: 0.00 μB/f.u.

The space group is P2/m (No. 10) and the conventional cell measures 4.240, 4.716 and 5.512 Å, with angles of 90.00, 103.45 and 90.00 degrees. Symmetry generates all atoms from In at (0.188, 0.000, 0.279), Pb at (0.500, 0.500, 0.000) and Au at (0.000, 0.500, 0.500).



No. 2
A geometry-optimized RbLaInSe3 structure. Source: the Alexandria database, functional PBE.

The raw formation energy is -1253 meV/atom. As for the total moment: 0.00 μB/f.u.

The space group is P2_1/m (No. 11) and the conventional cell measures 9.070, 4.889 and 10.318 Å, with angles of 90.00, 106.26 and 90.00 degrees. Symmetry generates all atoms from Rb at (0.216, 0.250, 0.235), La at (0.325, 0.750, 0.863), In at (0.117, 0.250, 0.597), Se at (0.105, 0.250, 0.856), Se at (0.213, 0.750, 0.540) and Se at (0.472, 0.750, 0.153).



No. 3
A geometry-optimized BaTl7Sn2 structure. Source: the Alexandria database, functional PBE.

The energy relative to the elements comes out at 0.02 eV/atom. As for the total moment: 0.00 μB/f.u.

The space group is Cmmm (No. 65) and the conventional cell measures 10.871, 14.447 and 4.771 Å, with angles of 90.00, 90.00 and 90.00 degrees. Symmetry generates all atoms from Ba at (0.000, 0.000, 0.000), Tl at (0.000, 0.322, 0.000), Tl at (0.000, 0.500, 0.500), Tl at (0.226, 0.363, 0.500) and Sn at (0.000, 0.190, 0.500).



No. 4
A geometry-optimized BaCdNi structure. Source: the Alexandria database, functional PBE.

The energy relative to the elements comes out at -0.15 eV/atom. As for the total moment: 0.00 μB/f.u.

The space group is C2/m (No. 12) and the conventional cell measures 13.522, 4.302 and 5.916 Å, with angles of 90.00, 100.74 and 90.00 degrees. Symmetry generates all atoms from Ba at (0.121, 0.000, 0.314), Cd at (0.103, 0.500, 0.802) and Ni at (0.224, 0.000, 0.904).



No. 5
A geometry-optimized KAlCd2Mo structure. Source: the Alexandria database, functional PBE.

The energy relative to the elements comes out at 0.53 eV/atom. As for the total moment: 1.23 μB/f.u.

The space group is P4/mmm (No. 123) and the conventional cell measures 5.455, 5.455 and 4.977 Å, with angles of 90.00, 90.00 and 90.00 degrees. Symmetry generates all atoms from K at (0.000, 0.000, 0.000), Al at (0.500, 0.500, 0.000), Cd at (0.000, 0.500, 0.500) and Mo at (0.500, 0.500, 0.500).



No. 6
A geometry-optimized TeOsBr2 structure. Source: the Alexandria database, functional PBE.

The raw formation energy is 648 meV/atom. As for the energy above the lowest structure with this stoichiometry: 0.581 eV per atom. As for the total moment: 0.00 μB/f.u.

The space group is Cmmm (No. 65) and the conventional cell measures 3.118, 5.891 and 11.494 Å, with angles of 90.00, 90.00 and 90.00 degrees. Symmetry generates all atoms from Te at (0.000, 0.000, 0.000), Os at (0.000, 0.000, 0.500) and Br at (0.000, 0.500, 0.329).